Entry 1:
Sr2NiAg GGA-PBE optimized geometry; calculated formation energy = 0.01 eV/atom; space group = Imm2, No. 44; crystal system = orthorhombic; E = -2.99 eV per atom
1.0
7.433 0.480 -0.326
4.576 5.877 0.326
-5.827 -3.514 3.047
Ag Ni Sr
1 1 2
Direct
0.430 0.430 0.000 Ag
0.325 0.825 0.500 Ni
0.996 0.996 0.000 Sr
0.749 0.249 0.500 Sr

Entry 2:
K2MnSi GGA-PBE optimized geometry; polymorph energy (0 for the lowest one) = 0.000 eV/atom; space group = Cm, No. 8; crystal system = monoclinic; energy relative to the elements, uncorrected = 0.262 eV/atom; E = -3.93 eV per atom
1.0
-4.172 -0.745 -0.766
-1.774 -3.744 1.177
-4.001 2.339 8.546
K Mn Si
2 1 1
Direct
0.956 0.956 0.106 K
0.794 0.794 0.644 K
0.542 0.542 0.375 Mn
0.208 0.208 0.375 Si

Entry 3:
La2Co4C GGA-PBE optimized geometry; calculated formation energy = -0.02 eV/atom; space group = I4/mmm, No. 139; crystal system = tetragonal; E = -6.80 eV per atom
1.0
3.864 0.000 0.000
0.000 3.864 0.000
1.932 1.932 7.739
C Co La
1 4 2
Direct
0.000 0.000 0.000 C
0.881 0.881 0.238 Co
0.119 0.119 0.762 Co
0.000 0.500 0.000 Co
0.500 0.000 0.000 Co
0.658 0.658 0.685 La
0.342 0.342 0.315 La

These records have M_tot values of 0.00; 4.14; 1.18 μB/f.u., in the order they appear.